Entry 1:
Here is a relaxed BeSbCl crystal from the Alexandria database. Energies are from PBE-GGA.

Cell and atoms, written as extended XYZ:
```
3
Lattice="0.0000 3.3301 3.3301 3.3301 0.0000 3.3301 3.3301 3.3301 0.0000" Properties=species:S:1:pos:R:3 pbc="T T T"
Be 0.0000 0.0000 0.0000
Sb 4.9952 4.9952 4.9952
Cl 3.3301 3.3301 3.3301
```

Calculated values
size of the total moment = 0.002 μB/atom
Fermi-level density of states = 4.8 states/eV per cell
energy above the most stable polymorph in this dataset = 1019 meV per atom
formation energy from raw total energies = 2.07 eV/f.u.
SG = No. 216

Entry 2:
Here is a relaxed BeSbCl crystal from the Alexandria database. Energies are from PBE-GGA.

Cell and atoms, written as extended XYZ:
```
3
Lattice="-1.6227 1.6227 7.4394 1.6227 -1.6227 7.4394 1.6227 1.6227 -7.4394" Properties=species:S:1:pos:R:3 pbc="T T T"
Be 0.0000 0.0000 0.0000
Sb 0.0000 0.0000 9.0613
Cl 0.0000 0.0000 13.0654
```

Calculated values
size of the total moment = 0.000 μB/atom
Fermi-level density of states = 0.9 states/eV per cell
energy above the most stable polymorph in this dataset = 126 meV per atom
formation energy from raw total energies = -0.61 eV/f.u.
SG = No. 107

Entry 3:
Here is a relaxed BeSbCl2 crystal from the Alexandria database. Energies are from PBE-GGA.

Cell and atoms, written as extended XYZ:
```
4
Lattice="1.6070 0.9278 12.0343 -1.6070 0.9278 12.0343 0.0000 -1.8556 12.0343" Properties=species:S:1:pos:R:3 pbc="T T T"
Be 0.0000 0.0000 0.0000
Sb 0.0000 0.0000 18.0514
Cl 0.0000 0.0000 13.3020
Cl 0.0000 0.0000 22.8009
```

Calculated values
size of the total moment = 0.000 μB/atom
Fermi-level density of states = 0.8 states/eV per cell
energy above the most stable polymorph in this dataset = 0 meV per atom
formation energy from raw total energies = -2.73 eV/f.u.
SG = No. 166

Entry 4:
Here is a relaxed BeSbCl2 crystal from the Alexandria database. Energies are from PBE-GGA.

Cell and atoms, written as extended XYZ:
```
4
Lattice="2.9890 0.0000 0.0000 0.0000 2.9890 0.0000 0.0000 0.0000 11.7711" Properties=species:S:1:pos:R:3 pbc="T T T"
Be 0.0000 0.0000 0.0000
Sb 0.0000 0.0000 5.8855
Cl 1.4945 1.4945 1.4228
Cl 1.4945 1.4945 10.3482
```

Calculated values
size of the total moment = 0.000 μB/atom
Fermi-level density of states = 1.2 states/eV per cell
energy above the most stable polymorph in this dataset = 582 meV per atom
formation energy from raw total energies = -0.40 eV/f.u.
SG = No. 123

Entry 5:
Here is a relaxed Be2SbCl crystal from the Alexandria database. Energies are from PBE-GGA.

Cell and atoms, written as extended XYZ:
```
4
Lattice="-1.7390 1.7390 6.6494 1.7390 -1.7390 6.6494 1.7390 1.7390 -6.6494" Properties=species:S:1:pos:R:3 pbc="T T T"
Be 0.0000 0.0000 0.0000
Be 0.0000 1.7390 3.3247
Sb 0.0000 0.0000 6.6494
Cl 1.7390 0.0000 3.3247
```

Calculated values
size of the total moment = 0.000 μB/atom
Fermi-level density of states = 2.0 states/eV per cell
energy above the most stable polymorph in this dataset = 733 meV per atom
formation energy from raw total energies = 2.31 eV/f.u.
SG = No. 119

Entry 6:
Here is a relaxed BeSbCl2 crystal from the Alexandria database. Energies are from PBE-GGA.

Cell and atoms, written as extended XYZ:
```
4
Lattice="0.0000 3.4232 4.2459 2.9935 0.0000 4.2459 2.9935 3.4232 0.0000" Properties=species:S:1:pos:R:3 pbc="T T T"
Be 0.0000 0.0000 0.0000
Sb 2.9935 3.4232 4.2459
Cl 2.9935 1.7116 2.1229
Cl 0.0000 1.7116 2.1229
```

Calculated values
size of the total moment = 0.000 μB/atom
Fermi-level density of states = 2.1 states/eV per cell
energy above the most stable polymorph in this dataset = 820 meV per atom
formation energy from raw total energies = 0.55 eV/f.u.
SG = No. 69